[1]
DFT (GGA-PBE) results for crystalline Pm4Nd5Dy at its relaxed geometry.

Results
Space-group type: I4mm (107)
Energy relative to the lowest polymorph listed for this composition in meV per atom: 216.8
Formation enthalpy at 0 K in eV per atom: 0.23

a = 8.1200 Å, b = 8.1200 Å, c = 8.1200 Å
α = 98.53°, β = 98.53°, γ = 134.70°
Last column: nearest neighbours and their distance in Å.
Atoms (fractional coordinates):
Pm1 0.0000 0.3249 0.3249  2 Nd 3.30, 1 Dy 3.69
Pm2 0.0000 0.6751 0.6751  2 Nd 3.30, 1 Dy 3.69
Pm3 0.3249 0.0000 0.3249  2 Nd 3.30, 1 Dy 3.69
Pm4 0.6751 0.0000 0.6751  2 Nd 3.30, 1 Dy 3.69
Nd1 0.2821 0.2821 0.6221  1 Dy 3.27, 2 Pm 3.30, 3 Nd 3.31-3.62
Nd2 0.2821 0.6600 0.0000  1 Dy 3.27, 2 Pm 3.30, 3 Nd 3.31-3.62
Nd3 0.6600 0.2821 0.0000  1 Dy 3.27, 2 Pm 3.30, 3 Nd 3.31-3.62
Nd4 0.6600 0.6600 0.3779  1 Dy 3.27, 2 Pm 3.30, 3 Nd 3.31-3.62
Nd5 0.7456 0.7456 0.0000  1 Dy 2.90
Dy1 0.2099 0.2099 0.0000  1 Nd 2.90

[2]
DFT (GGA-PBE) results for crystalline GdGeN2 at its relaxed geometry.

Results
E_form (uncorrected) in eV per atom: 0.267
Space-group type: R-3m (166)

a = 3.2011 Å, b = 3.2011 Å, c = 19.3808 Å
α = 90.00°, β = 90.00°, γ = 120.00°
Last column: nearest neighbours and their distance in Å.
Atoms (fractional coordinates):
Gd1 0.0000 0.0000 0.0000  2 N 2.24
Gd2 0.3333 0.6667 0.6667  2 N 2.24
Gd3 0.6667 0.3333 0.3333  2 N 2.24
Ge1 0.0000 0.0000 0.5000  6 N 2.10
Ge2 0.3333 0.6667 0.1667  6 N 2.10
Ge3 0.6667 0.3333 0.8333  6 N 2.10
N1 0.0000 0.0000 0.1153  3 Ge 2.10, 1 Gd 2.24
N2 0.0000 0.0000 0.8847  3 Ge 2.10, 1 Gd 2.24
N3 0.3333 0.6667 0.5513  3 Ge 2.10, 1 Gd 2.24
N4 0.3333 0.6667 0.7820  3 Ge 2.10, 1 Gd 2.24
N5 0.6667 0.3333 0.2180  3 Ge 2.10, 1 Gd 2.24
N6 0.6667 0.3333 0.4487  3 Ge 2.10, 1 Gd 2.24

[3]
DFT (GGA-PBE) results for crystalline Ba2HgSb2 at its relaxed geometry.

Results
E_form (uncorrected) in eV per atom: -0.770
Space-group type: P4/mbm (127)

a = 8.8498 Å, b = 8.8498 Å, c = 4.8809 Å
α = 90.00°, β = 90.00°, γ = 90.00°
Last column: nearest neighbours and their distance in Å.
Atoms (fractional coordinates):
Ba1 0.1811 0.3189 0.0000  6 Sb 3.54-3.62
Ba2 0.3189 0.8189 0.0000  6 Sb 3.54-3.62
Ba3 0.6811 0.1811 0.0000  6 Sb 3.54-3.62
Ba4 0.8189 0.6811 0.0000  6 Sb 3.54-3.62
Hg1 0.0000 0.0000 0.5000  4 Sb 3.56
Hg2 0.5000 0.5000 0.5000  4 Sb 3.56
Sb1 0.1140 0.6140 0.5000  1 Sb 2.85
Sb2 0.3860 0.1140 0.5000  1 Sb 2.85
Sb3 0.6140 0.8860 0.5000  1 Sb 2.85
Sb4 0.8860 0.3860 0.5000  1 Sb 2.85

[4]
DFT (GGA-PBE) results for crystalline La2SiRu at its relaxed geometry.

Results
E_form (uncorrected) in eV per atom: -0.542
Space-group type: R3m (160)

a = 4.2467 Å, b = 4.2467 Å, c = 22.6943 Å
α = 90.00°, β = 90.00°, γ = 120.00°
Last column: nearest neighbours and their distance in Å.
Atoms (fractional coordinates):
La1 0.0000 0.0000 0.0000  3 Ru 3.08, 3 Si 3.08
La2 0.0000 0.0000 0.1647  3 Si 3.08, 3 Ru 3.09
La3 0.3333 0.6667 0.6667  3 Ru 3.08, 3 Si 3.08
La4 0.3333 0.6667 0.8314  3 Si 3.08, 3 Ru 3.09
La5 0.6667 0.3333 0.3333  3 Ru 3.08, 3 Si 3.08
La6 0.6667 0.3333 0.4980  3 Si 3.08, 3 Ru 3.09
Si1 0.0000 0.0000 0.4156  3 Ru 2.45
Si2 0.3333 0.6667 0.0823  3 Ru 2.45
Si3 0.6667 0.3333 0.7490  3 Ru 2.45
Ru1 0.0000 0.0000 0.7488  3 Si 2.45
Ru2 0.3333 0.6667 0.4154  3 Si 2.45
Ru3 0.6667 0.3333 0.0821  3 Si 2.45

[5]
DFT (GGA-PBE) results for crystalline AcTbNdTe3 at its relaxed geometry.

Results
E_form (uncorrected) in eV per atom: -1.300
Space-group type: P2_1/m (11)

a = 8.7769 Å, b = 4.5884 Å, c = 10.8123 Å
α = 90.00°, β = 110.15°, γ = 90.00°
Last column: nearest neighbours and their distance in Å.
Atoms (fractional coordinates):
Ac1 0.1833 0.2500 0.2309  7 Te 3.36-3.43
Ac2 0.8167 0.7500 0.7691  7 Te 3.36-3.43
Tb1 0.1420 0.2500 0.6204  5 Te 3.05-3.34
Tb2 0.8580 0.7500 0.3796  5 Te 3.05-3.34
Nd1 0.3588 0.7500 0.8842  5 Te 3.14-3.30
Nd2 0.6412 0.2500 0.1158  5 Te 3.14-3.30
Te1 0.1087 0.2500 0.8982  1 Tb 3.12, 2 Nd 3.21, 3 Ac 3.36-3.43
Te2 0.2382 0.7500 0.4764  3 Tb 3.05-3.13, 2 Ac 3.42
Te3 0.4600 0.7500 0.2079  3 Nd 3.14-3.30, 1 Tb 3.34, 2 Ac 3.41
Te4 0.5400 0.2500 0.7921  3 Nd 3.14-3.30, 1 Tb 3.34, 2 Ac 3.41
Te5 0.7618 0.2500 0.5236  3 Tb 3.05-3.13, 2 Ac 3.42
Te6 0.8913 0.7500 0.1018  1 Tb 3.12, 2 Nd 3.21, 3 Ac 3.36-3.43

[6]
DFT (GGA-PBE) results for crystalline Tl3GaO3 at its relaxed geometry.

Results
E_form (uncorrected) in eV per atom: -0.873
Space-group type: P4_2/mnm (136)

a = 9.9003 Å, b = 9.9003 Å, c = 6.2647 Å
α = 90.00°, β = 90.00°, γ = 90.00°
Last column: nearest neighbours and their distance in Å.
Atoms (fractional coordinates):
Tl1 0.1243 0.3644 0.0000  1 O 2.35
Tl2 0.1356 0.6243 0.5000  1 O 2.35
Tl3 0.1534 0.1534 0.5000  2 O 2.46
Tl4 0.3466 0.6534 0.0000  2 O 2.46
Tl5 0.3644 0.1243 0.0000  1 O 2.35
Tl6 0.3757 0.8644 0.5000  1 O 2.35
Tl7 0.6243 0.1356 0.5000  1 O 2.35
Tl8 0.6356 0.8757 0.0000  1 O 2.35
Tl9 0.6534 0.3466 0.0000  2 O 2.46
Tl10 0.8466 0.8466 0.5000  2 O 2.46
Tl11 0.8644 0.3757 0.5000  1 O 2.35
Tl12 0.8757 0.6356 0.0000  1 O 2.35
Ga1 0.1060 0.8940 0.0000  4 O 1.90-1.96
Ga2 0.3940 0.3940 0.5000  4 O 1.90-1.96
Ga3 0.6060 0.6060 0.5000  4 O 1.90-1.96
Ga4 0.8940 0.1060 0.0000  4 O 1.90-1.96
O1 0.0911 0.0911 0.0000  2 Ga 1.96
O2 0.1032 0.7022 0.0000  1 Ga 1.90
O3 0.2022 0.3968 0.5000  1 Ga 1.90
O4 0.2978 0.8968 0.0000  1 Ga 1.90
O5 0.3968 0.2022 0.5000  1 Ga 1.90
O6 0.4089 0.5911 0.5000  2 Ga 1.96
O7 0.5911 0.4089 0.5000  2 Ga 1.96
O8 0.6032 0.7978 0.5000  1 Ga 1.90
O9 0.7022 0.1032 0.0000  1 Ga 1.90
O10 0.7978 0.6032 0.5000  1 Ga 1.90
O11 0.8968 0.2978 0.0000  1 Ga 1.90
O12 0.9089 0.9089 0.0000  2 Ga 1.96

[7]
DFT (GGA-PBE) results for crystalline Li3Mg2Cu2 at its relaxed geometry.

Results
Space-group type: C2/m (12)
Energy relative to the lowest polymorph listed for this composition in meV per atom: 13.0
Formation enthalpy at 0 K in eV per atom: -0.04

a = 9.1758 Å, b = 4.0295 Å, c = 6.9801 Å
α = 90.00°, β = 113.24°, γ = 90.00°
Last column: nearest neighbours and their distance in Å.
Atoms (fractional coordinates):
Li1 0.0000 0.0000 0.0000  4 Cu 2.49
Li2 0.1332 0.0000 0.4368  3 Cu 2.62-2.72, 4 Li 2.80-2.91
Li3 0.3668 0.5000 0.5632  3 Cu 2.62-2.72, 4 Li 2.80-2.91
Li4 0.5000 0.5000 0.0000  4 Cu 2.49
Li5 0.6332 0.5000 0.4368  3 Cu 2.62-2.72, 4 Li 2.80-2.91
Li6 0.8668 0.0000 0.5632  3 Cu 2.62-2.72, 4 Li 2.80-2.91
Mg1 0.1395 0.5000 0.7855  4 Cu 2.74-2.75, 2 Li 3.05
Mg2 0.3605 0.0000 0.2145  4 Cu 2.74-2.75, 2 Li 3.05
Mg3 0.6395 0.0000 0.7855  4 Cu 2.74-2.75, 2 Li 3.05
Mg4 0.8605 0.5000 0.2145  4 Cu 2.74-2.75, 2 Li 3.05
Cu1 0.1487 0.5000 0.1835  5 Li 2.49-2.72, 4 Mg 2.74-2.75
Cu2 0.3513 0.0000 0.8165  5 Li 2.49-2.72, 4 Mg 2.74-2.75
Cu3 0.6487 0.0000 0.1835  5 Li 2.49-2.72, 4 Mg 2.74-2.75
Cu4 0.8513 0.5000 0.8165  5 Li 2.49-2.72, 4 Mg 2.74-2.75

[8]
DFT (GGA-PBE) results for crystalline Pa2MnPd at its relaxed geometry.

Results
Space-group type: R-3m (166)
Energy relative to the lowest polymorph listed for this composition in meV per atom: 419.9
Formation enthalpy at 0 K in eV per atom: 0.26

a = 3.6137 Å, b = 3.6137 Å, c = 24.9916 Å
α = 90.00°, β = 90.00°, γ = 120.00°
Last column: nearest neighbours and their distance in Å.
Atoms (fractional coordinates):
Pa1 0.0000 0.0000 0.1067  3 Mn 2.57, 1 Pd 2.67
Pa2 0.0000 0.0000 0.8933  3 Mn 2.57, 1 Pd 2.67
Pa3 0.3333 0.6667 0.5600  3 Mn 2.57, 1 Pd 2.67
Pa4 0.3333 0.6667 0.7733  3 Mn 2.57, 1 Pd 2.67
Pa5 0.6667 0.3333 0.2267  3 Mn 2.57, 1 Pd 2.67
Pa6 0.6667 0.3333 0.4400  3 Mn 2.57, 1 Pd 2.67
Mn1 0.0000 0.0000 0.5000  6 Pa 2.57
Mn2 0.3333 0.6667 0.1667  6 Pa 2.57
Mn3 0.6667 0.3333 0.8333  6 Pa 2.57
Pd1 0.0000 0.0000 0.0000  2 Pa 2.67
Pd2 0.3333 0.6667 0.6667  2 Pa 2.67
Pd3 0.6667 0.3333 0.3333  2 Pa 2.67

[9]
DFT (GGA-PBE) results for crystalline Sc4InPd5 at its relaxed geometry.

Results
Space-group type: P4/mmm (123)
Formation enthalpy at 0 K in eV per atom: -0.84

a = 3.2984 Å, b = 3.2984 Å, c = 16.6683 Å
α = 90.00°, β = 90.00°, γ = 90.00°
Last column: nearest neighbours and their distance in Å.
Atoms (fractional coordinates):
Sc1 0.0000 0.0000 0.1012  8 Pd 2.87-2.88
Sc2 0.0000 0.0000 0.3038  8 Pd 2.80-2.88
Sc3 0.0000 0.0000 0.6962  8 Pd 2.80-2.88
Sc4 0.0000 0.0000 0.8988  8 Pd 2.87-2.88
In1 0.0000 0.0000 0.5000  8 Pd 2.90
Pd1 0.5000 0.5000 0.0000  8 Sc 2.88
Pd2 0.5000 0.5000 0.2020  8 Sc 2.87-2.88
Pd3 0.5000 0.5000 0.3971  4 Sc 2.80, 4 In 2.90
Pd4 0.5000 0.5000 0.6029  4 Sc 2.80, 4 In 2.90
Pd5 0.5000 0.5000 0.7980  8 Sc 2.87-2.88

[10]
DFT (GGA-PBE) results for crystalline MgAlRe2 at its relaxed geometry.

Results
Space-group type: Cmmm (65)
Energy relative to the lowest polymorph listed for this composition in meV per atom: 343.5
Formation enthalpy at 0 K in eV per atom: 0.27

a = 5.4455 Å, b = 8.4927 Å, c = 2.6677 Å
α = 90.00°, β = 90.00°, γ = 90.00°
Last column: nearest neighbours and their distance in Å.
Atoms (fractional coordinates):
Mg1 0.0000 0.0000 0.0000  2 Mg 2.67, 2 Al 2.72, 8 Re 2.85
Mg2 0.5000 0.5000 0.0000  2 Mg 2.67, 2 Al 2.72, 8 Re 2.85
Al1 0.0000 0.5000 0.0000  2 Al 2.67, 2 Mg 2.72, 8 Re 2.85
Al2 0.5000 0.0000 0.0000  2 Al 2.67, 2 Mg 2.72, 8 Re 2.85
Re1 0.2500 0.2500 0.5000  4 Re 2.67-2.72, 4 Mg 2.85, 4 Al 2.85
Re2 0.2500 0.7500 0.5000  4 Re 2.67-2.72, 4 Mg 2.85, 4 Al 2.85
Re3 0.7500 0.2500 0.5000  4 Re 2.67-2.72, 4 Mg 2.85, 4 Al 2.85
Re4 0.7500 0.7500 0.5000  4 Re 2.67-2.72, 4 Mg 2.85, 4 Al 2.85

[11]
DFT (GGA-PBE) results for crystalline YCd12 at its relaxed geometry.

Results
Space-group type: I4/mmm (139)
Formation enthalpy at 0 K in eV per atom: -0.08

a = 7.6337 Å, b = 7.6337 Å, c = 7.6337 Å
α = 98.90°, β = 98.90°, γ = 133.67°
Last column: nearest neighbours and their distance in Å.
Atoms (fractional coordinates):
Y1 0.0000 0.0000 0.0000  20 Cd 3.47-3.82
Cd1 0.0000 0.0000 0.5000  10 Cd 2.92-3.07
Cd2 0.0000 0.3500 0.3500  9 Cd 2.98-3.30
Cd3 0.0000 0.5000 0.0000  10 Cd 2.92-3.07
Cd4 0.0000 0.6500 0.6500  9 Cd 2.98-3.30
Cd5 0.2875 0.5000 0.7875  8 Cd 2.92-3.22
Cd6 0.3500 0.0000 0.3500  9 Cd 2.98-3.30
Cd7 0.5000 0.0000 0.0000  10 Cd 2.92-3.07
Cd8 0.5000 0.2875 0.7875  8 Cd 2.92-3.22
Cd9 0.5000 0.5000 0.5000  10 Cd 2.92-3.07
Cd10 0.5000 0.7125 0.2125  8 Cd 2.92-3.22
Cd11 0.6500 0.0000 0.6500  9 Cd 2.98-3.30
Cd12 0.7125 0.5000 0.2125  8 Cd 2.92-3.22

[12]
DFT (GGA-PBE) results for crystalline SrAlOs3 at its relaxed geometry.

Results
Space-group type: Pm-3m (221)
Energy relative to the lowest polymorph listed for this composition in meV per atom: 2238.4
Formation enthalpy at 0 K in eV per atom: 3.49

a = 4.7933 Å, b = 4.7933 Å, c = 4.7933 Å
α = 90.00°, β = 90.00°, γ = 90.00°
Last column: nearest neighbours and their distance in Å.
Atoms (fractional coordinates):
Sr1 0.0000 0.0000 0.0000  6 Os 2.40
Al1 0.5000 0.5000 0.5000  12 Os 3.39
Os1 0.0000 0.0000 0.5000  2 Sr 2.40
Os2 0.0000 0.5000 0.0000  2 Sr 2.40
Os3 0.5000 0.0000 0.0000  2 Sr 2.40

no.,E_tot (eV per atom)
1,-4.51
2,-8.57
3,-3.25
4,-6.68
5,-5.12
6,-4.44
7,-2.48
8,-8.08
9,-6.24
10,-7.29
11,-1.42
12,-4.33